#P
Computed, not measured: a geometry-optimized SrCd2Mo structure at the PBE level of DFT.

Summary:
- DOS at the Fermi energy (states/eV/atom) = 0.4201
- total magnetic moment (μB per cell) = 2.3

a b c (Å): 4.456 4.651 4.651
angles (deg): 90.00 90.00 90.00
Last column: magnetic moment on the atom in μB.
Fractional positions:
Cd 0.000 0.000 0.000  -0.04
Cd 0.000 0.500 0.500  -0.04
Mo 0.500 0.500 0.000  2.06
Sr 0.500 0.000 0.500  0.03

***

#Q
Computed, not measured: a geometry-optimized SrCd2Mo structure at the PBE level of DFT.

Summary:
- DOS at the Fermi energy (states/eV/atom) = 0.6537
- total magnetic moment (μB per cell) = 0.0

a b c (Å): 10.799 10.799 10.799
angles (deg): 16.87 16.87 16.87
Fractional positions:
Cd 0.994 0.994 0.994
Cd 0.244 0.244 0.244
Mo 0.505 0.505 0.505
Sr 0.756 0.756 0.756

***

#P is the most stable structure; the next one sits 8.8 kJ/mol of atoms above it.